# PBE K2BaPaO5, optimized geometry
# E_form (uncorrected)	-2493	meV per atom
# total DFT energy (no corrections)	-60.8	eV/f.u.
# calculated density	4.9	Mg/m³
# space-group type	Immm
# spin magnetization	1.1	μB/f.u.
# D(E_F)	5.44	states/eV/cell
data_K2BaPaO5
_chemical_formula_sum 'K2 Ba1 Pa1 O5'
_space_group_name_H-M_alt 'P 1'
_space_group_IT_number 1
_space_group_name_Hall 'P 1'
_cell_length_a 4.3821
_cell_length_b 6.1605
_cell_length_c 7.5604
_cell_angle_alpha 114.04
_cell_angle_beta 106.85
_cell_angle_gamma 90.00
loop_
_atom_site_label
_atom_site_fract_x
_atom_site_fract_y
_atom_site_fract_z
K1 0.2204 0.2204 0.4407
K2 0.7796 0.7796 0.5593
Ba1 0.0000 0.5000 0.0000
Pa1 0.5000 0.0000 0.0000
O1 0.6116 0.8610 0.2232
O2 0.3884 0.1390 0.7768
O3 0.3884 0.6378 0.7768
O4 0.6116 0.3622 0.2232
O5 0.0000 0.0000 0.0000